# Mg6AlGa PBE-GGA relaxed
data_Mg6AlGa
_chemical_formula_sum 'Mg12 Al2 Ga2'
_space_group_name_H-M_alt 'C 1 2/m 1'
_space_group_IT_number 12
_space_group_name_Hall '-C 2y'
_cell_length_a 8.412
_cell_length_b 4.960
_cell_length_c 8.349
_cell_angle_alpha 90.00
_cell_angle_beta 107.87
_cell_angle_gamma 90.00
loop_
_atom_site_label
_atom_site_fract_x
_atom_site_fract_y
_atom_site_fract_z
Mg1 0.122 0.000 0.370
Mg2 0.126 0.500 0.877
Mg3 0.249 0.000 0.744
Al1 0.000 0.500 0.500
Ga1 0.000 0.000 0.000
# * crystal system: monoclinic
# * energy above the most stable polymorph in this dataset: 0.31 eV/f.u.

---

# Rb4Th3ZrSe8 PBE-GGA relaxed
data_Rb4Th3ZrSe8
_chemical_formula_sum 'Rb12 Th9 Zr3 Se24'
_space_group_name_H-M_alt 'R -3 m'
_space_group_IT_number 166
_space_group_name_Hall '-R 3 2"'
_cell_length_a 8.3788
_cell_length_b 8.3788
_cell_length_c 24.5890
_cell_angle_alpha 90.00
_cell_angle_beta 90.00
_cell_angle_gamma 120.00
loop_
_atom_site_label
_atom_site_fract_x
_atom_site_fract_y
_atom_site_fract_z
Rb1 0.0000 0.0000 0.0000
Rb2 0.0000 0.5000 0.0000
Th1 0.0000 0.5000 0.5000
Zr1 0.0000 0.0000 0.5000
Se1 0.0000 0.0000 0.2373
Se2 0.0134 0.5067 0.2338
# * crystal system: trigonal
# * energy relative to the elements, uncorrected: -1462 meV per atom

---

# UPaSe PBE-GGA relaxed
data_UPaSe
_chemical_formula_sum 'U2 Pa2 Se2'
_space_group_name_H-M_alt 'P 1 21/m 1'
_space_group_IT_number 11
_space_group_name_Hall '-P 2yb'
_cell_length_a 4.000
_cell_length_b 4.000
_cell_length_c 8.171
_cell_angle_alpha 90.00
_cell_angle_beta 90.07
_cell_angle_gamma 90.00
loop_
_atom_site_label
_atom_site_fract_x
_atom_site_fract_y
_atom_site_fract_z
U1 0.249 0.250 0.000
Pa1 0.249 0.750 0.652
Se1 0.251 0.750 0.285
# * crystal system: monoclinic
# * energy relative to the elements, uncorrected: -570 meV per atom
# * energy above the most stable polymorph in this dataset: 0.00 eV/f.u.

---

The records above yield E_tot values of -2.0473; -5.3714; -8.6598 eV/atom, respectively.
The records above yield total moment values of 0.00; 0.04; 0.00 μB per atom, respectively.